<P>
A relaxed structure of MnBTeAu2, computed with GGA-PBE. Values from VASP.

Quantum ESPRESSO input file:
```
&SYSTEM
  ibrav = 0, nat = 10, ntyp = 4
/
ATOMIC_SPECIES
B 10.81 B.upf
Te 127.60 Te.upf
Au 196.97 Au.upf
Mn 54.94 Mn.upf
ATOMIC_POSITIONS angstrom
B -7.8043 -0.5222 -5.5029
B -4.6529 -3.6783 -3.1461
Te -6.1343 1.4888 -3.2216
Te -2.9829 -1.6673 -0.8648
Au -2.9168 1.2166 -1.2362
Au -7.6324 3.0082 -1.2452
Au -1.4941 -3.8280 -3.2201
Au -6.2097 -2.0363 -3.2291
Mn -3.5137 -2.0244 -3.5174
Mn -8.2293 -0.2327 -3.5264
CELL_PARAMETERS angstrom
-0.8913 -5.5259 -3.8053
-1.5641 -1.3644 2.3478
-7.8671 4.9478 -2.3657
```

Output
* SG: No. 8


<Q>
A relaxed structure of MnBTeAu2, computed with GGA-PBE. Values from VASP.

Quantum ESPRESSO input file:
```
&SYSTEM
  ibrav = 0, nat = 5, ntyp = 4
/
ATOMIC_SPECIES
B 10.81 B.upf
Te 127.60 Te.upf
Au 196.97 Au.upf
Mn 54.94 Mn.upf
ATOMIC_POSITIONS angstrom
B -5.1126 3.6413 1.1040
Te -3.6623 1.0852 0.6233
Au -1.7357 -0.5854 -0.2256
Au -5.4557 2.7925 3.2267
Mn -4.6910 3.1039 -0.9022
CELL_PARAMETERS angstrom
-1.5162 -0.3234 -2.8422
-1.3190 -2.7113 2.8551
-4.9425 5.6339 2.0036
```

Output
* SG: No. 8


<R>
A relaxed structure of MnBTeAu2, computed with GGA-PBE. Values from VASP.

Quantum ESPRESSO input file:
```
&SYSTEM
  ibrav = 0, nat = 10, ntyp = 4
/
ATOMIC_SPECIES
B 10.81 B.upf
Te 127.60 Te.upf
Au 196.97 Au.upf
Mn 54.94 Mn.upf
ATOMIC_POSITIONS angstrom
B 0.0000 1.8243 5.8344
B 2.0905 0.0000 12.3956
Te 0.0000 1.8243 9.2158
Te 2.0905 0.0000 2.6546
Au 0.0000 0.0000 7.1520
Au 2.0905 1.8243 0.5908
Au 0.0000 0.0000 11.7901
Au 2.0905 1.8243 5.2289
Mn 0.0000 0.0000 4.4695
Mn 2.0905 1.8243 11.0307
CELL_PARAMETERS angstrom
4.1810 0.0000 0.0000
0.0000 3.6486 0.0000
0.0000 0.0000 13.1224
```

Output
* SG: No. 44


<S>
A relaxed structure of MnBTeAu2, computed with GGA-PBE. Values from VASP.

Quantum ESPRESSO input file:
```
&SYSTEM
  ibrav = 0, nat = 10, ntyp = 4
/
ATOMIC_SPECIES
B 10.81 B.upf
Te 127.60 Te.upf
Au 196.97 Au.upf
Mn 54.94 Mn.upf
ATOMIC_POSITIONS angstrom
B -6.9918 5.5985 -0.3999
B -2.4735 0.0235 -3.1006
Te -3.4684 2.7735 -0.1854
Te -10.5860 5.0336 1.5529
Au -5.6117 4.2150 0.6380
Au -12.7293 6.4752 2.3763
Au -1.4011 1.8341 -2.5333
Au -8.5187 4.0943 -0.7950
Mn -7.8317 5.7109 1.4815
Mn -3.3133 0.1358 -1.2192
CELL_PARAMETERS angstrom
-0.3609 1.1504 -2.9878
-2.5993 -3.3149 -0.9624
-11.6359 7.8352 4.4390
```

Output
* SG: No. 8


Most stable to least stable: <R>, <S>, <Q>, <P>


<P>
A relaxed structure of MnBTeAu2, computed with GGA-PBE. Values from VASP.

Quantum ESPRESSO input file:
```
&SYSTEM
  ibrav = 0, nat = 10, ntyp = 4
/
ATOMIC_SPECIES
B 10.81 B.upf
Te 127.60 Te.upf
Au 196.97 Au.upf
Mn 54.94 Mn.upf
ATOMIC_POSITIONS angstrom
B 0.0000 0.0000 6.3215
B 0.0000 1.7816 14.1145
Te 0.0000 0.0000 11.2832
Te 0.0000 1.7816 3.4902
Au 0.0000 0.0000 8.5554
Au 0.0000 1.7816 0.7624
Au 1.5782 0.0000 14.6597
Au 1.5782 1.7816 6.8666
Mn 1.5782 0.0000 4.8628
Mn 1.5782 1.7816 12.6558
CELL_PARAMETERS angstrom
3.1564 0.0000 0.0000
0.0000 3.5632 0.0000
0.0000 0.0000 15.5860
```

Output
* SG: No. 38


<Q>
A relaxed structure of MnBTeAu2, computed with GGA-PBE. Values from VASP.

Quantum ESPRESSO input file:
```
&SYSTEM
  ibrav = 0, nat = 5, ntyp = 4
/
ATOMIC_SPECIES
B 10.81 B.upf
Te 127.60 Te.upf
Au 196.97 Au.upf
Mn 54.94 Mn.upf
ATOMIC_POSITIONS angstrom
B -4.6990 1.4053 0.9033
Te -4.1698 -2.5139 1.6724
Au -3.0769 -1.4624 -1.7451
Au -5.2894 -0.4905 0.0079
Mn -2.6908 -0.2281 0.7703
CELL_PARAMETERS angstrom
-2.3986 0.3825 -3.4905
-3.1613 -4.2136 1.8480
-2.5230 3.6635 0.7419
```

Output
* SG: No. 1


<R>
A relaxed structure of MnBTeAu2, computed with GGA-PBE. Values from VASP.

Quantum ESPRESSO input file:
```
&SYSTEM
  ibrav = 0, nat = 10, ntyp = 4
/
ATOMIC_SPECIES
B 10.81 B.upf
Te 127.60 Te.upf
Au 196.97 Au.upf
Mn 54.94 Mn.upf
ATOMIC_POSITIONS angstrom
B 0.0000 0.0000 13.0115
B 2.1710 1.5974 6.1362
Te 0.0000 0.0000 9.4832
Te 2.1710 1.5974 2.6079
Au 0.0000 1.5974 0.7257
Au 2.1710 0.0000 7.6009
Au 0.0000 1.5974 5.4194
Au 2.1710 0.0000 12.2947
Mn 0.0000 1.5974 11.6632
Mn 2.1710 0.0000 4.7879
CELL_PARAMETERS angstrom
4.3420 0.0000 0.0000
0.0000 3.1949 0.0000
0.0000 0.0000 13.7505
```

Output
* SG: No. 44


<S>
A relaxed structure of MnBTeAu2, computed with GGA-PBE. Values from VASP.

Quantum ESPRESSO input file:
```
&SYSTEM
  ibrav = 0, nat = 5, ntyp = 4
/
ATOMIC_SPECIES
B 10.81 B.upf
Te 127.60 Te.upf
Au 196.97 Au.upf
Mn 54.94 Mn.upf
ATOMIC_POSITIONS angstrom
B -1.7146 -2.4709 -0.2802
Te -2.3927 -1.2135 3.3717
Au -3.9260 1.2522 2.8864
Au -1.2370 -3.2469 1.6720
Mn -1.8344 -0.6374 0.7245
CELL_PARAMETERS angstrom
-1.3391 -3.4242 -0.9818
1.8896 -1.6856 3.3014
-4.5829 1.6566 3.4688
```

Output
* SG: No. 6


Most stable to least stable: <R>, <P>, <Q>, <S>


<P>
A relaxed structure of BMo3Au, computed with GGA-PBE. Values from VASP.

Quantum ESPRESSO input file:
```
&SYSTEM
  ibrav = 0, nat = 5, ntyp = 3
/
ATOMIC_SPECIES
Mo 95.94 Mo.upf
B 10.81 B.upf
Au 196.97 Au.upf
ATOMIC_POSITIONS angstrom
Mo -1.0613 -1.6327 1.4270
Mo 1.3634 0.7329 1.8526
Mo -1.6861 1.6203 0.5999
B -1.3840 0.7205 3.8795
Au 0.0000 0.0000 0.0000
CELL_PARAMETERS angstrom
-3.3722 3.2407 1.1998
-2.1227 -3.2654 2.8539
2.7269 1.4658 3.7053
```

Output
* SG: No. 221


<Q>
A relaxed structure of BMo3Au, computed with GGA-PBE. Values from VASP.

Quantum ESPRESSO input file:
```
&SYSTEM
  ibrav = 0, nat = 5, ntyp = 3
/
ATOMIC_SPECIES
Mo 95.94 Mo.upf
B 10.81 B.upf
Au 196.97 Au.upf
ATOMIC_POSITIONS angstrom
Mo -1.2618 -1.1385 -1.2391
Mo 0.9882 -1.7550 0.6062
Mo -1.3620 -0.2185 1.5877
B 0.0000 0.0000 0.0000
Au -1.6357 -3.1120 0.9548
CELL_PARAMETERS angstrom
-2.7241 -0.4370 3.1755
-2.5237 -2.2770 -2.4783
1.9763 -3.5099 1.2123
```

Output
* SG: No. 221


Most stable to least stable: <Q>, <P>


<P>
A relaxed structure of BAuN, computed with GGA-PBE. Values from VASP.

Quantum ESPRESSO input file:
```
&SYSTEM
  ibrav = 0, nat = 6, ntyp = 3
/
ATOMIC_SPECIES
B 10.81 B.upf
Au 196.97 Au.upf
N 14.01 N.upf
ATOMIC_POSITIONS angstrom
B 0.7082 0.7623 0.2972
B 2.0083 0.8739 2.4759
Au 1.9914 -1.1123 6.7126
Au -0.5942 0.9207 4.6003
N 1.9918 -0.8427 8.8228
N 0.7082 0.8580 1.8238
CELL_PARAMETERS angstrom
2.6001 -0.0065 0.0000
-1.2872 3.4011 0.0420
-0.0164 -1.5494 9.1391
```

Output
* SG: No. 1


<Q>
A relaxed structure of BAuN, computed with GGA-PBE. Values from VASP.

Quantum ESPRESSO input file:
```
&SYSTEM
  ibrav = 0, nat = 6, ntyp = 3
/
ATOMIC_SPECIES
B 10.81 B.upf
Au 196.97 Au.upf
N 14.01 N.upf
ATOMIC_POSITIONS angstrom
B 1.2665 2.0885 0.1910
B 2.3376 0.0585 11.6621
Au 2.2547 1.4757 4.4158
Au 2.3287 0.0135 7.4419
N 2.5736 1.3338 0.1911
N 2.3376 1.5677 11.6620
CELL_PARAMETERS angstrom
2.6143 0.0000 0.0000
1.3072 2.2640 -0.0013
1.0567 -0.5365 15.4551
```

Output
* SG: No. 1


Most stable to least stable: <Q>, <P>


<P>
A relaxed structure of BAuN, computed with GGA-PBE. Values from VASP.

Quantum ESPRESSO input file:
```
&SYSTEM
  ibrav = 0, nat = 6, ntyp = 3
/
ATOMIC_SPECIES
B 10.81 B.upf
Au 196.97 Au.upf
N 14.01 N.upf
ATOMIC_POSITIONS angstrom
B -1.1209 1.5873 -0.9296
B -2.8568 -0.1832 -0.3887
Au -7.5843 -0.2420 -0.8308
Au -5.5962 1.7411 -0.4501
N -7.9431 0.1756 2.8355
N -2.5781 1.2088 -0.6924
CELL_PARAMETERS angstrom
-0.7005 2.4608 -0.3803
-1.6855 -0.9670 -3.4297
-7.7719 -0.3383 3.6635
```

Output
* SG: No. 1


<Q>
A relaxed structure of BAuN, computed with GGA-PBE. Values from VASP.

Quantum ESPRESSO input file:
```
&SYSTEM
  ibrav = 0, nat = 3, ntyp = 3
/
ATOMIC_SPECIES
B 10.81 B.upf
Au 196.97 Au.upf
N 14.01 N.upf
ATOMIC_POSITIONS angstrom
B 0.0254 1.2052 7.5751
Au -0.9490 1.5083 3.4239
N 1.3289 0.4525 7.5746
CELL_PARAMETERS angstrom
2.6070 0.0000 -0.0008
-1.3035 2.2578 0.0004
-0.5596 -0.4211 8.3118
```

Output
* SG: No. 1


Most stable to least stable: <Q>, <P>


<P>
A relaxed structure of BAuN, computed with GGA-PBE. Values from VASP.

Quantum ESPRESSO input file:
```
&SYSTEM
  ibrav = 0, nat = 6, ntyp = 3
/
ATOMIC_SPECIES
Au 196.97 Au.upf
B 10.81 B.upf
N 14.01 N.upf
ATOMIC_POSITIONS angstrom
Au -1.5636 -1.6684 2.6400
Au -4.2743 -0.4150 1.9758
B -1.6754 -0.1450 -1.0857
B -4.1625 -1.9385 5.7015
N -5.5659 -2.0644 5.2034
N -0.2721 -0.0190 -0.5876
CELL_PARAMETERS angstrom
-0.2796 2.9601 0.0275
-1.4176 -0.0997 -3.0706
-4.1407 -4.9438 7.6589
```

Output
* SG: No. 2


<Q>
A relaxed structure of BAuN, computed with GGA-PBE. Values from VASP.

Quantum ESPRESSO input file:
```
&SYSTEM
  ibrav = 0, nat = 12, ntyp = 3
/
ATOMIC_SPECIES
B 10.81 B.upf
Au 196.97 Au.upf
N 14.01 N.upf
ATOMIC_POSITIONS angstrom
B 1.0493 4.9728 0.8737
B 0.9351 -0.1812 0.9036
B -2.0652 0.2218 2.2133
B -0.1495 4.6882 3.9334
Au 0.6066 2.8749 0.5051
Au 2.5224 7.3413 2.2253
Au -0.4779 7.7442 3.5349
Au -0.5921 2.5902 3.5648
N 0.1405 0.6661 0.1170
N 2.0563 5.1325 1.8372
N -0.9440 5.5355 3.1469
N -1.0582 0.3815 3.1767
CELL_PARAMETERS angstrom
-4.1991 0.1183 4.3694
1.8016 -0.6876 1.7500
2.0300 9.6204 1.6903
```

Output
* SG: No. 42


<R>
A relaxed structure of BAuN, computed with GGA-PBE. Values from VASP.

Quantum ESPRESSO input file:
```
&SYSTEM
  ibrav = 0, nat = 3, ntyp = 3
/
ATOMIC_SPECIES
B 10.81 B.upf
Au 196.97 Au.upf
N 14.01 N.upf
ATOMIC_POSITIONS angstrom
B 0.0000 0.0000 0.0000
Au 0.0000 0.0000 4.1424
N 0.0000 1.5050 0.0000
CELL_PARAMETERS angstrom
2.6068 0.0000 0.0000
-1.3034 2.2576 0.0000
0.0000 0.0000 8.2848
```

Output
* SG: No. 187


Most stable to least stable: <R>, <Q>, <P>


<P>
A relaxed structure of BTe2AuN, computed with GGA-PBE. Values from VASP.

Quantum ESPRESSO input file:
```
&SYSTEM
  ibrav = 0, nat = 5, ntyp = 4
/
ATOMIC_SPECIES
B 10.81 B.upf
Te 127.60 Te.upf
Au 196.97 Au.upf
N 14.01 N.upf
ATOMIC_POSITIONS angstrom
B -1.3178 -2.8641 3.1686
Te 1.5429 -1.8150 1.6068
Te -2.1971 -1.8517 0.0182
Au 0.0000 0.0000 0.0000
N -0.6636 0.8025 1.5437
CELL_PARAMETERS angstrom
-4.3942 -3.7033 0.0363
3.0857 -3.6299 3.2135
-1.3272 1.6051 3.0874
```

Output
* SG: No. 123


<Q>
A relaxed structure of BTe2AuN, computed with GGA-PBE. Values from VASP.

Quantum ESPRESSO input file:
```
&SYSTEM
  ibrav = 0, nat = 5, ntyp = 4
/
ATOMIC_SPECIES
B 10.81 B.upf
Te 127.60 Te.upf
Au 196.97 Au.upf
N 14.01 N.upf
ATOMIC_POSITIONS angstrom
B 0.0000 0.0000 0.0000
Te 3.1472 -0.0591 -0.1313
Te -0.1100 -2.8411 -1.3572
Au 3.0774 -3.4881 -0.2610
N 0.0402 -0.5879 1.2274
CELL_PARAMETERS angstrom
-0.2200 -5.6822 -2.7144
6.2945 -0.1183 -0.2625
0.0803 -1.1758 2.4549
```

Output
* SG: No. 123


Most stable to least stable: <Q>, <P>


<P>
A relaxed structure of NaBPtAu2, computed with GGA-PBE. Values from VASP.

Quantum ESPRESSO input file:
```
&SYSTEM
  ibrav = 0, nat = 5, ntyp = 4
/
ATOMIC_SPECIES
Na 22.99 Na.upf
B 10.81 B.upf
Au 196.97 Au.upf
Pt 195.08 Pt.upf
ATOMIC_POSITIONS angstrom
Na 0.0000 0.0000 0.0000
B 2.4376 2.4184 2.4376
Au 0.0000 0.0000 2.4376
Au 2.4376 0.0000 0.0000
Pt 0.0000 2.4184 0.0000
CELL_PARAMETERS angstrom
4.8752 0.0000 0.0000
0.0000 4.8368 0.0000
0.0000 0.0000 4.8752
```

Output
* SG: No. 123


<Q>
A relaxed structure of NaBPtAu2, computed with GGA-PBE. Values from VASP.

Quantum ESPRESSO input file:
```
&SYSTEM
  ibrav = 0, nat = 5, ntyp = 4
/
ATOMIC_SPECIES
Na 22.99 Na.upf
B 10.81 B.upf
Au 196.97 Au.upf
Pt 195.08 Pt.upf
ATOMIC_POSITIONS angstrom
Na -1.9209 -2.2156 -2.4129
B 0.0000 0.0000 0.0000
Au 0.7919 -1.8176 -1.0317
Au -0.9689 0.6584 -1.9035
Pt -1.7439 -1.0563 0.5223
CELL_PARAMETERS angstrom
-1.9377 1.3167 -3.8070
1.5838 -3.6353 -2.0635
-3.4879 -2.1125 1.0446
```

Output
* SG: No. 123


Most stable to least stable: <Q>, <P>


<P>
A relaxed structure of NbBAu3, computed with GGA-PBE. Values from VASP.

Quantum ESPRESSO input file:
```
&SYSTEM
  ibrav = 0, nat = 5, ntyp = 3
/
ATOMIC_SPECIES
Nb 92.91 Nb.upf
B 10.81 B.upf
Au 196.97 Au.upf
ATOMIC_POSITIONS angstrom
Nb 0.0000 0.0000 0.0000
B -0.0216 -4.4555 -0.3035
Au -1.3561 -1.3688 -1.7133
Au 2.0670 -1.4707 -0.4611
Au -0.7325 -1.6160 1.8709
CELL_PARAMETERS angstrom
-1.4649 -3.2319 3.7417
-2.7122 -2.7376 -3.4265
4.1340 -2.9414 -0.9222
```

Output
* SG: No. 221


<Q>
A relaxed structure of NbBAu3, computed with GGA-PBE. Values from VASP.

Quantum ESPRESSO input file:
```
&SYSTEM
  ibrav = 0, nat = 5, ntyp = 3
/
ATOMIC_SPECIES
Nb 92.91 Nb.upf
B 10.81 B.upf
Au 196.97 Au.upf
ATOMIC_POSITIONS angstrom
Nb -1.2867 -3.5364 0.5074
B 0.0000 0.0000 0.0000
Au -1.6053 -0.9414 -1.1590
Au 1.2030 -1.8234 -0.1853
Au -0.8844 -0.7716 1.8517
CELL_PARAMETERS angstrom
-1.7688 -1.5433 3.7034
-3.2106 -1.8827 -2.3180
2.4061 -3.6468 -0.3705
```

Output
* SG: No. 221


Most stable to least stable: <Q>, <P>


<P>
A relaxed structure of NbB3Au, computed with GGA-PBE. Values from VASP.

Quantum ESPRESSO input file:
```
&SYSTEM
  ibrav = 0, nat = 5, ntyp = 3
/
ATOMIC_SPECIES
Nb 92.91 Nb.upf
B 10.81 B.upf
Au 196.97 Au.upf
ATOMIC_POSITIONS angstrom
Nb -2.1040 1.7987 2.2346
B -1.5605 -0.8044 1.0660
B 0.6326 0.9986 1.6796
B -1.1761 1.6044 -0.5110
Au 0.0000 0.0000 0.0000
CELL_PARAMETERS angstrom
-2.3522 3.2088 -1.0220
-3.1210 -1.6088 2.1320
1.2652 1.9973 3.3592
```

Output
* SG: No. 221


<Q>
A relaxed structure of NbB3Au, computed with GGA-PBE. Values from VASP.

Quantum ESPRESSO input file:
```
&SYSTEM
  ibrav = 0, nat = 5, ntyp = 3
/
ATOMIC_SPECIES
Nb 92.91 Nb.upf
B 10.81 B.upf
Au 196.97 Au.upf
ATOMIC_POSITIONS angstrom
Nb 0.0000 0.0000 0.0000
B 0.0000 2.1391 0.0000
B 0.0000 0.0000 2.1391
B 2.1391 0.0000 0.0000
Au 2.1391 2.1391 2.1391
CELL_PARAMETERS angstrom
4.2781 0.0000 0.0000
0.0000 4.2781 0.0000
0.0000 0.0000 4.2781
```

Output
* SG: No. 221


Most stable to least stable: <Q>, <P>


<P>
A relaxed structure of NiBAu3, computed with GGA-PBE. Values from VASP.

Quantum ESPRESSO input file:
```
&SYSTEM
  ibrav = 0, nat = 5, ntyp = 3
/
ATOMIC_SPECIES
Ni 58.69 Ni.upf
B 10.81 B.upf
Au 196.97 Au.upf
ATOMIC_POSITIONS angstrom
Ni 0.0000 0.0000 0.0000
B 2.3841 2.3841 2.3841
Au 0.0000 2.3841 0.0000
Au 0.0000 0.0000 2.3841
Au 2.3841 0.0000 0.0000
CELL_PARAMETERS angstrom
4.7681 0.0000 0.0000
0.0000 4.7681 0.0000
0.0000 0.0000 4.7681
```

Output
* SG: No. 221


<Q>
A relaxed structure of NiBAu3, computed with GGA-PBE. Values from VASP.

Quantum ESPRESSO input file:
```
&SYSTEM
  ibrav = 0, nat = 5, ntyp = 3
/
ATOMIC_SPECIES
Ni 58.69 Ni.upf
B 10.81 B.upf
Au 196.97 Au.upf
ATOMIC_POSITIONS angstrom
Ni -3.0248 2.0553 0.7351
B 0.0000 0.0000 0.0000
Au -1.7561 0.1161 -1.2413
Au -1.2465 -0.2018 1.7446
Au -0.0223 2.1410 0.2318
CELL_PARAMETERS angstrom
-0.0445 4.2820 0.4636
-3.5122 0.2323 -2.4825
-2.4930 -0.4037 3.4892
```

Output
* SG: No. 221


Most stable to least stable: <Q>, <P>